#A
Material: La4Pr2Er3
Method: DFT, PBE-GGA
State: relaxed

Cell: 3.6464 3.6464 27.4716 Å, 90.00 90.00 120.00°
Element x y z (fractional)
La 0.0000 0.0000 0.5480
La 0.6667 0.3333 0.4293
La 0.6667 0.3333 0.2190
La 0.0000 0.0000 0.7597
Pr 0.6667 0.3333 0.0853
Pr 0.6667 0.3333 0.8769
Er 0.0000 0.0000 0.9822
Er 0.0000 0.0000 0.3232
Er 0.6667 0.3333 0.6536

Results
Space-group type: No. 156
Theoretical density in g cm⁻³: 7.0



#B
Material: La4Pr2Er3
Method: DFT, PBE-GGA
State: relaxed

Cell: 6.9709 6.9709 8.5468 Å, 100.10 100.10 124.74°
Element x y z (fractional)
La 0.3333 0.0465 0.3798
La 0.6667 0.9535 0.6202
La 0.9535 0.6667 0.6202
La 0.0465 0.3333 0.3798
Pr 0.6095 0.6095 0.2191
Pr 0.3905 0.3905 0.7809
Er 0.5000 0.0000 0.0000
Er 0.0000 0.5000 0.0000
Er 0.0000 0.0000 0.0000

Results
Space-group type: No. 69
Theoretical density in g cm⁻³: 7.0



Most stable: #A (next structure +8.3 kJ/mol of atoms)



#A
Material: La2Pr12Er5
Method: DFT, PBE-GGA
State: relaxed

Cell: 11.7885 10.8357 6.2964 Å, 98.72 90.00 122.95°
Element x y z (fractional)
La 0.7127 0.0000 0.0000
La 0.2873 0.0000 0.0000
Pr 0.1026 0.2052 0.0344
Pr 0.0405 0.5942 0.7860
Pr 0.5538 0.5942 0.7860
Pr 0.1336 0.7950 0.3762
Pr 0.6614 0.7950 0.3762
Pr 0.4193 0.8385 0.6499
Pr 0.5807 0.1615 0.3501
Pr 0.8664 0.2050 0.6238
Pr 0.3386 0.2050 0.6238
Pr 0.9595 0.4058 0.2140
Pr 0.4462 0.4058 0.2140
Pr 0.8974 0.7948 0.9656
Er 0.2168 0.4335 0.5700
Er 0.3217 0.6433 0.1160
Er 0.0000 0.0000 0.5000
Er 0.6783 0.3567 0.8840
Er 0.7832 0.5665 0.4300

Results
Space-group type: No. 12
Theoretical density in g cm⁻³: 7.0



#B
Material: La2Pr12Er5
Method: DFT, PBE-GGA
State: relaxed

Cell: 10.1416 9.6061 8.1231 Å, 89.35 90.00 121.86°
Element x y z (fractional)
La 0.7828 0.0000 0.0000
La 0.2172 0.0000 0.0000
Pr 0.8368 0.6737 0.1251
Pr 0.0385 0.6191 0.7904
Pr 0.5805 0.6191 0.7904
Pr 0.1670 0.7883 0.3881
Pr 0.6213 0.7883 0.3881
Pr 0.4485 0.8969 0.7148
Pr 0.5515 0.1031 0.2852
Pr 0.8330 0.2117 0.6119
Pr 0.3787 0.2117 0.6119
Pr 0.9615 0.3809 0.2096
Pr 0.4195 0.3809 0.2096
Pr 0.1632 0.3263 0.8749
Er 0.2479 0.4959 0.5085
Er 0.3519 0.7037 0.0847
Er 0.0000 0.0000 0.5000
Er 0.6481 0.2963 0.9153
Er 0.7521 0.5041 0.4915

Results
Space-group type: No. 12
Theoretical density in g cm⁻³: 6.9



Most stable: #A (next structure +2.1 kJ/mol of atoms)



#A
Material: La2Pr4Er
Method: DFT, PBE-GGA
State: relaxed

Cell: 3.7163 3.7163 20.9832 Å, 84.92 84.92 60.00°
Element x y z (fractional)
La 0.5944 0.5944 0.2169
La 0.4056 0.4056 0.7831
Pr 0.6911 0.6911 0.9267
Pr 0.8794 0.8794 0.3617
Pr 0.3089 0.3089 0.0733
Pr 0.1206 0.1206 0.6383
Er 0.5000 0.5000 0.5000

Results
Space-group type: No. 166
Theoretical density in g cm⁻³: 6.7



#B
Material: La2Pr4Er
Method: DFT, PBE-GGA
State: relaxed

Cell: 8.0471 12.3356 8.0518 Å, 116.93 105.38 116.83°
Element x y z (fractional)
Pr 0.7463 0.1834 0.8717
Pr 0.8778 0.6480 0.7096
Pr 0.8867 0.8878 0.5773
Pr 0.0714 0.3930 0.4460
Pr 0.4586 0.1471 0.1263
Pr 0.6215 0.6834 0.9961
Pr 0.3276 0.3879 0.1377
Pr 0.1960 0.8933 0.3224
Er 0.8442 0.5380 0.2300
Er 0.9799 0.0379 0.0943
La 0.4048 0.7942 0.6982
La 0.4494 0.2947 0.6543
La 0.7425 0.0556 0.3931
La 0.1433 0.5557 0.9930

Results
Space-group type: No. 1
Theoretical density in g cm⁻³: 6.5



Most stable: #A (next structure +14.6 kJ/mol of atoms)



#A
Material: LaPr6Er3
Method: DFT, PBE-GGA
State: relaxed

Cell: 6.4169 11.1796 11.1796 Å, 120.53 90.00 90.00°
Element x y z (fractional)
La 0.0946 0.1883 0.8117
La 0.5946 0.8117 0.1883
Pr 0.0519 0.7075 0.6283
Pr 0.5519 0.6283 0.7075
Pr 0.3717 0.5254 0.9436
Pr 0.8717 0.9436 0.5254
Pr 0.3681 0.9647 0.0353
Pr 0.6501 0.2835 0.7165
Pr 0.1501 0.7165 0.2835
Pr 0.8681 0.0353 0.9647
Pr 0.3717 0.0564 0.4746
Pr 0.8717 0.4746 0.0564
Pr 0.0519 0.3717 0.2925
Pr 0.5519 0.2925 0.3717
Er 0.4651 0.9410 0.7096
Er 0.9651 0.7096 0.9410
Er 0.0953 0.3831 0.6169
Er 0.5953 0.6169 0.3831
Er 0.9651 0.0590 0.2904
Er 0.4651 0.2904 0.0590

Results
Space-group type: No. 36
Theoretical density in g cm⁻³: 7.1



#B
Material: LaPr6Er3
Method: DFT, PBE-GGA
State: relaxed

Cell: 10.0359 10.0359 7.0676 Å, 44.77 44.77 60.00°
Element x y z (fractional)
La 0.8997 0.8997 0.3010
Pr 0.9001 0.5698 0.2994
Pr 0.2307 0.9001 0.2994
Pr 0.5698 0.2307 0.2994
Pr 0.0737 0.3999 0.7994
Pr 0.7270 0.0737 0.7994
Pr 0.3999 0.7270 0.7994
Er 0.3996 0.3996 0.8011
Er 0.6455 0.6455 0.0634
Er 0.1539 0.1539 0.5383

Results
Space-group type: No. 146
Theoretical density in g cm⁻³: 7.0



Most stable: #A (next structure +7.9 kJ/mol of atoms)



#A
Material: La3PrEr2
Method: DFT, PBE-GGA
State: relaxed

Cell: 3.5053 6.0437 10.5257 Å, 106.68 99.59 90.00°
Element x y z (fractional)
La 0.0000 0.5000 0.0000
La 0.8107 0.8107 0.6214
La 0.1893 0.1893 0.3786
Pr 0.0000 0.0000 0.0000
Er 0.6378 0.6378 0.2755
Er 0.3622 0.3622 0.7245

Results
Space-group type: No. 71
Theoretical density in g cm⁻³: 7.0



#B
Material: La3PrEr2
Method: DFT, PBE-GGA
State: relaxed

Cell: 10.1274 10.1274 10.1274 Å, 141.96 137.70 58.19°
Element x y z (fractional)
La 0.2500 0.7652 0.5152
La 0.7500 0.2348 0.4848
La 0.5704 0.8148 0.2443
La 0.9296 0.1739 0.2443
La 0.0704 0.8261 0.7557
La 0.4296 0.1852 0.7557
Pr 0.7500 0.7349 0.9849
Pr 0.2500 0.2651 0.0151
Er 0.8531 0.3531 0.0000
Er 0.3531 0.3531 0.5000
Er 0.6469 0.6469 0.5000
Er 0.1469 0.6469 0.0000

Results
Space-group type: No. 74
Theoretical density in g cm⁻³: 6.9



Most stable: #B (next structure +15.2 kJ/mol of atoms)



#A
Material: La7Pr2Er
Method: DFT, PBE-GGA
State: relaxed

Cell: 5.6182 9.3544 9.3544 Å, 122.53 90.00 90.00°
Element x y z (fractional)
La 0.0000 0.7611 0.2389
La 0.0000 0.2389 0.7611
La 0.5000 0.0746 0.2991
La 0.5000 0.9254 0.7009
La 0.5000 0.2991 0.0746
La 0.5000 0.7009 0.9254
La 0.5000 0.5000 0.5000
Pr 0.5000 0.7007 0.2993
Pr 0.5000 0.2993 0.7007
Er 0.0000 0.0000 0.0000

Results
Space-group type: No. 65
Theoretical density in g cm⁻³: 5.7



#B
Material: La7Pr2Er
Method: DFT, PBE-GGA
State: relaxed

Cell: 3.5974 10.5298 10.5296 Å, 109.35 90.00 90.00°
Element x y z (fractional)
La 0.0000 0.6804 0.3196
La 0.0000 0.3196 0.6804
La 0.5000 0.1261 0.3792
La 0.5000 0.8739 0.6208
La 0.5000 0.3792 0.1261
La 0.5000 0.6208 0.8739
La 0.5000 0.5000 0.5000
Pr 0.5000 0.8317 0.1683
Pr 0.5000 0.1683 0.8317
Er 0.0000 0.0000 0.0000

Results
Space-group type: No. 65
Theoretical density in g cm⁻³: 6.3



Most stable: #B (next structure +22.8 kJ/mol of atoms)



#A
Material: La2Pr3Er
Method: DFT, PBE-GGA
State: relaxed

Cell: 7.0478 9.4147 7.1566 Å, 100.95 90.00 111.98°
Element x y z (fractional)
La 0.3416 0.6557 0.4094
La 0.3141 0.6557 0.9094
La 0.6859 0.3443 0.0906
La 0.6584 0.3443 0.5906
Pr 0.7339 0.0000 0.7500
Pr 0.2661 0.0000 0.2500
Pr 0.8479 0.7173 0.9344
Pr 0.1306 0.2827 0.5656
Pr 0.8694 0.7173 0.4344
Pr 0.1521 0.2827 0.0656
Er 0.7406 0.0000 0.2500
Er 0.2594 0.0000 0.7500

Results
Space-group type: No. 15
Theoretical density in g cm⁻³: 6.7



#B
Material: La2Pr3Er
Method: DFT, PBE-GGA
State: relaxed

Cell: 5.8383 10.1085 7.1601 Å, 90.00 90.00 90.00°
Element x y z (fractional)
La 0.5000 0.8322 0.2525
La 0.0000 0.3322 0.2475
La 0.0000 0.6678 0.7525
La 0.5000 0.1678 0.7475
Pr 0.0000 0.0000 0.0000
Pr 0.5000 0.5000 0.5000
Pr 0.5000 0.8313 0.7506
Pr 0.5000 0.1687 0.2494
Pr 0.0000 0.3313 0.7494
Pr 0.0000 0.6687 0.2506
Er 0.0000 0.0000 0.5000
Er 0.5000 0.5000 0.0000

Results
Space-group type: No. 58
Theoretical density in g cm⁻³: 6.8



Most stable: #B (next structure +6.4 kJ/mol of atoms)



#A
Material: LaPrEr6
Method: DFT, PBE-GGA
State: relaxed

Cell: 6.1207 6.1207 9.4006 Å, 85.87 117.66 113.42°
Element x y z (fractional)
La 0.0000 0.0000 0.0000
Pr 0.5000 0.0000 0.5000
Er 0.3602 0.4592 0.2990
Er 0.8397 0.9387 0.2990
Er 0.1603 0.0613 0.7010
Er 0.6398 0.5408 0.7010
Er 0.7031 0.3772 0.0803
Er 0.2969 0.6228 0.9197

Results
Space-group type: No. 12
Theoretical density in g cm⁻³: 7.5



#B
Material: LaPrEr6
Method: DFT, PBE-GGA
State: relaxed

Cell: 5.0443 5.0443 10.0885 Å, 90.00 90.00 90.00°
Element x y z (fractional)
La 0.0000 0.0000 0.0000
Pr 0.0000 0.0000 0.5000
Er 0.5000 0.5000 0.0000
Er 0.5000 0.5000 0.5000
Er 0.5000 0.0000 0.2518
Er 0.5000 0.0000 0.7482
Er 0.0000 0.5000 0.2518
Er 0.0000 0.5000 0.7482

Results
Space-group type: No. 123
Theoretical density in g cm⁻³: 8.3



Most stable: #B (next structure +32.2 kJ/mol of atoms)